Entry 1:
# HfGaI7 (PBE, relaxed)
data_HfGaI7
_symmetry_space_group_name_H-M 'P 1'
_symmetry_Int_Tables_number 1
_cell_length_a 8.164
_cell_length_b 6.923
_cell_length_c 17.551
_cell_angle_alpha 90.00
_cell_angle_beta 99.73
_cell_angle_gamma 90.00
loop_
_symmetry_equiv_pos_as_xyz
'x,y,z'
loop_
_atom_site_label
_atom_site_fract_x
_atom_site_fract_y
_atom_site_fract_z
_atom_site_occupancy
I1 0.837 0.173 0.560 1
I2 0.143 0.641 0.558 1
I3 0.837 0.827 0.060 1
I4 0.975 0.172 0.799 1
I5 0.261 0.363 0.298 1
I6 0.325 0.172 0.671 1
I7 0.975 0.828 0.299 1
I8 0.261 0.637 0.798 1
I9 0.325 0.828 0.171 1
I10 0.480 0.874 0.414 1
I11 0.480 0.126 0.914 1
I12 0.761 0.637 0.695 1
I13 0.143 0.359 0.058 1
I14 0.761 0.363 0.195 1
Hf1 0.014 0.420 0.661 1
Hf2 0.014 0.580 0.161 1
Ga1 0.270 0.013 0.801 1
Ga2 0.270 0.987 0.301 1
# M_tot   0.0001 μB/atom
# Electronic total energy   -3.343 eV per atom

Entry 2:
# BaAgBi2Pt (PBE, relaxed)
data_BaAgBi2Pt
_symmetry_space_group_name_H-M 'P 1'
_symmetry_Int_Tables_number 1
_cell_length_a 5.016
_cell_length_b 4.972
_cell_length_c 11.404
_cell_angle_alpha 90.00
_cell_angle_beta 90.99
_cell_angle_gamma 90.00
loop_
_symmetry_equiv_pos_as_xyz
'x,y,z'
loop_
_atom_site_label
_atom_site_fract_x
_atom_site_fract_y
_atom_site_fract_z
_atom_site_occupancy
Bi1 0.751 0.250 0.499 1
Bi2 0.780 0.750 0.860 1
Bi3 0.249 0.750 0.501 1
Bi4 0.220 0.250 0.140 1
Ba1 0.261 0.250 0.748 1
Ba2 0.739 0.750 0.252 1
Pt1 0.247 0.250 0.382 1
Pt2 0.753 0.750 0.618 1
Ag1 0.710 0.250 0.000 1
Ag2 0.290 0.750 0.000 1
# M_tot   0.0001 μB/atom
# Electronic total energy   -4.336 eV per atom

Entry 3:
# CdSnSb2 (PBE, relaxed)
data_CdSnSb2
_symmetry_space_group_name_H-M 'P 1'
_symmetry_Int_Tables_number 1
_cell_length_a 5.324
_cell_length_b 5.324
_cell_length_c 5.324
_cell_angle_alpha 60.00
_cell_angle_beta 60.00
_cell_angle_gamma 60.00
loop_
_symmetry_equiv_pos_as_xyz
'x,y,z'
loop_
_atom_site_label
_atom_site_fract_x
_atom_site_fract_y
_atom_site_fract_z
_atom_site_occupancy
Sb1 0.250 0.250 0.250 1
Sb2 0.500 0.500 0.500 1
Sn1 0.000 0.000 0.000 1
Cd1 0.750 0.750 0.750 1
# Electronic total energy   -3.131 eV per atom

Entry 4:
# Gd3Tl4Pb3 (PBE, relaxed)
data_Gd3Tl4Pb3
_symmetry_space_group_name_H-M 'P 1'
_symmetry_Int_Tables_number 1
_cell_length_a 12.663
_cell_length_b 12.663
_cell_length_c 4.721
_cell_angle_alpha 90.00
_cell_angle_beta 90.00
_cell_angle_gamma 158.38
loop_
_symmetry_equiv_pos_as_xyz
'x,y,z'
loop_
_atom_site_label
_atom_site_fract_x
_atom_site_fract_y
_atom_site_fract_z
_atom_site_occupancy
Gd1 0.809 0.191 0.000 1
Gd2 0.191 0.809 0.000 1
Gd3 0.000 0.000 0.000 1
Tl1 0.400 0.600 0.000 1
Tl2 0.293 0.707 0.500 1
Tl3 0.600 0.400 0.000 1
Tl4 0.707 0.293 0.500 1
Pb1 0.099 0.901 0.500 1
Pb2 0.901 0.099 0.500 1
Pb3 0.500 0.500 0.500 1
# ΔE to the lowest computed polymorph   38 meV/atom
# M_tot   0.0006 μB/atom

Entry 5:
# HoTm2Hg (PBE, relaxed)
data_HoTm2Hg
_symmetry_space_group_name_H-M 'P 1'
_symmetry_Int_Tables_number 1
_cell_length_a 5.364
_cell_length_b 6.696
_cell_length_c 6.696
_cell_angle_alpha 65.03
_cell_angle_beta 90.00
_cell_angle_gamma 90.00
loop_
_symmetry_equiv_pos_as_xyz
'x,y,z'
loop_
_atom_site_label
_atom_site_fract_x
_atom_site_fract_y
_atom_site_fract_z
_atom_site_occupancy
Ho1 0.000 0.656 0.656 1
Ho2 0.500 0.343 0.343 1
Hg1 0.000 0.666 0.161 1
Hg2 0.000 0.161 0.666 1
Tm1 0.500 0.340 0.837 1
Tm2 0.000 0.153 0.153 1
Tm3 0.500 0.837 0.340 1
Tm4 0.500 0.844 0.844 1
# ΔE to the lowest computed polymorph   95 meV/atom
# M_tot   0.0072 μB/atom
# Formation enthalpy at 0 K   -99 meV per atom

Entry 6:
# BaUW (PBE, relaxed)
data_BaUW
_symmetry_space_group_name_H-M 'P 1'
_symmetry_Int_Tables_number 1
_cell_length_a 4.978
_cell_length_b 4.978
_cell_length_c 4.978
_cell_angle_alpha 60.00
_cell_angle_beta 60.00
_cell_angle_gamma 60.00
loop_
_symmetry_equiv_pos_as_xyz
'x,y,z'
loop_
_atom_site_label
_atom_site_fract_x
_atom_site_fract_y
_atom_site_fract_z
_atom_site_occupancy
U1 0.250 0.250 0.250 1
W1 0.000 0.000 0.000 1
Ba1 0.750 0.750 0.750 1
# ΔE to the lowest computed polymorph   0 meV/atom
# M_tot   0.6029 μB/atom

Entry 7:
# PrHfCu2Sb4 (PBE, relaxed)
data_PrHfCu2Sb4
_symmetry_space_group_name_H-M 'P 1'
_symmetry_Int_Tables_number 1
_cell_length_a 4.291
_cell_length_b 4.291
_cell_length_c 9.838
_cell_angle_alpha 90.00
_cell_angle_beta 90.00
_cell_angle_gamma 90.00
loop_
_symmetry_equiv_pos_as_xyz
'x,y,z'
loop_
_atom_site_label
_atom_site_fract_x
_atom_site_fract_y
_atom_site_fract_z
_atom_site_occupancy
Sb1 0.500 0.000 0.022 1
Sb2 0.000 0.000 0.325 1
Sb3 0.500 0.500 0.652 1
Sb4 0.000 0.500 0.022 1
Pr1 0.000 0.000 0.761 1
Hf1 0.500 0.500 0.244 1
Cu1 0.500 0.000 0.488 1
Cu2 0.000 0.500 0.488 1
# M_tot   0.0004 μB/atom
# Electronic total energy   -5.255 eV per atom

Entry 8:
# La3PrO7 (PBE, relaxed)
data_La3PrO7
_symmetry_space_group_name_H-M 'P 1'
_symmetry_Int_Tables_number 1
_cell_length_a 8.307
_cell_length_b 6.013
_cell_length_c 6.013
_cell_angle_alpha 35.84
_cell_angle_beta 90.00
_cell_angle_gamma 90.00
loop_
_symmetry_equiv_pos_as_xyz
'x,y,z'
loop_
_atom_site_label
_atom_site_fract_x
_atom_site_fract_y
_atom_site_fract_z
_atom_site_occupancy
La1 0.761 0.705 0.705 1
La2 0.000 0.978 0.978 1
La3 0.239 0.705 0.705 1
O1 0.246 0.078 0.078 1
O2 0.592 0.348 0.348 1
O3 0.408 0.348 0.348 1
O4 0.500 0.623 0.623 1
O5 0.000 0.606 0.606 1
O6 0.000 0.332 0.332 1
O7 0.754 0.078 0.078 1
Pr1 0.500 0.993 0.993 1
# M_tot   0.0002 μB/atom
# Electronic total energy   -7.918 eV per atom

Entry 9:
# LiGePt2 (PBE, relaxed)
data_LiGePt2
_symmetry_space_group_name_H-M 'P 1'
_symmetry_Int_Tables_number 1
_cell_length_a 3.984
_cell_length_b 3.984
_cell_length_c 3.582
_cell_angle_alpha 90.00
_cell_angle_beta 90.00
_cell_angle_gamma 90.00
loop_
_symmetry_equiv_pos_as_xyz
'x,y,z'
loop_
_atom_site_label
_atom_site_fract_x
_atom_site_fract_y
_atom_site_fract_z
_atom_site_occupancy
Li1 0.500 0.500 0.500 1
Pt1 0.500 0.000 0.000 1
Pt2 0.000 0.500 0.000 1
Ge1 0.000 0.000 0.500 1
# M_tot   0.0002 μB/atom
# Electronic total energy   -5.266 eV per atom

Entry 10:
# DyAlO3 (PBE, relaxed)
data_DyAlO3
_symmetry_space_group_name_H-M 'P 1'
_symmetry_Int_Tables_number 1
_cell_length_a 5.213
_cell_length_b 5.213
_cell_length_c 5.662
_cell_angle_alpha 62.59
_cell_angle_beta 62.59
_cell_angle_gamma 60.00
loop_
_symmetry_equiv_pos_as_xyz
'x,y,z'
loop_
_atom_site_label
_atom_site_fract_x
_atom_site_fract_y
_atom_site_fract_z
_atom_site_occupancy
Dy1 0.369 0.369 0.894 1
Dy2 0.631 0.631 0.106 1
Al1 0.844 0.844 0.467 1
Al2 0.156 0.156 0.533 1
O1 0.804 0.031 0.725 1
O2 0.440 0.804 0.725 1
O3 0.031 0.440 0.725 1
O4 0.560 0.196 0.275 1
O5 0.969 0.560 0.275 1
O6 0.196 0.969 0.275 1
# M_tot   0.0000 μB/atom
# Electronic total energy   -7.809 eV per atom

Entry 11:
# La2GdSn2Pb5 (PBE, relaxed)
data_La2GdSn2Pb5
_symmetry_space_group_name_H-M 'P 1'
_symmetry_Int_Tables_number 1
_cell_length_a 13.421
_cell_length_b 13.421
_cell_length_c 4.790
_cell_angle_alpha 90.00
_cell_angle_beta 90.00
_cell_angle_gamma 160.04
loop_
_symmetry_equiv_pos_as_xyz
'x,y,z'
loop_
_atom_site_label
_atom_site_fract_x
_atom_site_fract_y
_atom_site_fract_z
_atom_site_occupancy
Sn1 0.711 0.289 0.500 1
Sn2 0.289 0.711 0.500 1
La1 0.187 0.813 0.000 1
La2 0.813 0.187 0.000 1
Pb1 0.905 0.095 0.500 1
Pb2 0.406 0.594 0.000 1
Pb3 0.594 0.406 0.000 1
Pb4 0.500 0.500 0.500 1
Pb5 0.095 0.905 0.500 1
Gd1 0.000 0.000 0.000 1
# ΔE to the lowest computed polymorph   0 meV/atom
# M_tot   0.0012 μB/atom

Entry 12:
# KSmAlSe3 (PBE, relaxed)
data_KSmAlSe3
_symmetry_space_group_name_H-M 'P 1'
_symmetry_Int_Tables_number 1
_cell_length_a 7.652
_cell_length_b 7.652
_cell_length_c 11.290
_cell_angle_alpha 90.00
_cell_angle_beta 90.00
_cell_angle_gamma 147.19
loop_
_symmetry_equiv_pos_as_xyz
'x,y,z'
loop_
_atom_site_label
_atom_site_fract_x
_atom_site_fract_y
_atom_site_fract_z
_atom_site_occupancy
Se1 0.440 0.560 0.750 1
Se2 0.560 0.440 0.250 1
Se3 0.871 0.129 0.077 1
Se4 0.871 0.129 0.423 1
Se5 0.129 0.871 0.577 1
Se6 0.129 0.871 0.923 1
K1 0.244 0.756 0.250 1
K2 0.756 0.244 0.750 1
Al1 0.970 0.030 0.250 1
Al2 0.030 0.970 0.750 1
Sm1 0.500 0.500 0.000 1
Sm2 0.500 0.500 0.500 1
# M_tot   0.0745 μB/atom
# Electronic total energy   -4.602 eV per atom